No. 1
# Tb2TmMg (GGA-PBE, relaxed)
# Crystal system = trigonal
# SG = No. 160
# Energy above the most stable polymorph in this dataset = 0.0650 eV/atom
# Total moment = 0.00 μB per atom
# Energy of formation = 0.04 eV per atom
data_Tb2TmMg
_chemical_formula_sum 'Tb2 Tm1 Mg1'
_space_group_name_H-M_alt 'P 1'
_space_group_IT_number 1
_cell_length_a 3.4812
_cell_length_b 3.4812
_cell_length_c 11.5315
_cell_angle_alpha 81.34
_cell_angle_beta 81.34
_cell_angle_gamma 59.96
loop_
_space_group_symop_operation_xyz
'x,y,z'
loop_
_atom_site_label
_atom_site_type_symbol
_atom_site_fract_x
_atom_site_fract_y
_atom_site_fract_z
Tb1 Tb 0.0835 0.0835 0.7492
Tb2 Tb 0.2496 0.2496 0.2511
Tm1 Tm 0.6670 0.6670 0.9995
Mg1 Mg 0.4999 0.4999 0.5001


No. 2
# Tb4Tm6Mg (GGA-PBE, relaxed)
# Crystal system = tetragonal
# SG = No. 121
# Total moment = 0.00 μB per atom
# Energy of formation = 0.28 eV per atom
data_Tb4Tm6Mg
_chemical_formula_sum 'Tb4 Tm6 Mg1'
_space_group_name_H-M_alt 'P 1'
_space_group_IT_number 1
_cell_length_a 6.4370
_cell_length_b 6.4370
_cell_length_c 9.5656
_cell_angle_alpha 109.66
_cell_angle_beta 109.66
_cell_angle_gamma 90.00
loop_
_space_group_symop_operation_xyz
'x,y,z'
loop_
_atom_site_label
_atom_site_type_symbol
_atom_site_fract_x
_atom_site_fract_y
_atom_site_fract_z
Tb1 Tb 0.0399 0.6885 0.7284
Tb2 Tb 0.9601 0.9601 0.2716
Tb3 Tb 0.6885 0.0399 0.7284
Tb4 Tb 0.3115 0.3115 0.2716
Tm1 Tm 0.8499 0.4840 0.3340
Tm2 Tm 0.4840 0.8499 0.3340
Tm3 Tm 0.5160 0.5160 0.6660
Tm4 Tm 0.0000 0.5000 0.0000
Tm5 Tm 0.1501 0.1501 0.6660
Tm6 Tm 0.5000 0.0000 0.0000
Mg1 Mg 0.5000 0.5000 0.0000


No. 3
# Tb6Tm3Mg (GGA-PBE, relaxed)
# Crystal system = monoclinic
# SG = No. 11
# Energy above the most stable polymorph in this dataset = 0.0000 eV/atom
# Total moment = 0.00 μB per atom
# Energy of formation = 0.02 eV per atom
data_Tb6Tm3Mg
_chemical_formula_sum 'Tb12 Tm6 Mg2'
_space_group_name_H-M_alt 'P 1'
_space_group_IT_number 1
_cell_length_a 4.9784
_cell_length_b 11.0587
_cell_length_c 11.1244
_cell_angle_alpha 90.37
_cell_angle_beta 90.00
_cell_angle_gamma 90.00
loop_
_space_group_symop_operation_xyz
'x,y,z'
loop_
_atom_site_label
_atom_site_type_symbol
_atom_site_fract_x
_atom_site_fract_y
_atom_site_fract_z
Tb1 Tb 0.2500 0.4488 0.1021
Tb2 Tb 0.7500 0.5512 0.8979
Tb3 Tb 0.2500 0.1502 0.1981
Tb4 Tb 0.7500 0.8498 0.8019
Tb5 Tb 0.2500 0.6517 0.7003
Tb6 Tb 0.7500 0.3483 0.2997
Tb7 Tb 0.2500 0.2487 0.4992
Tb8 Tb 0.7500 0.7513 0.5008
Tb9 Tb 0.2500 0.8498 0.3040
Tb10 Tb 0.7500 0.1502 0.6960
Tb11 Tb 0.2500 0.0490 0.8995
Tb12 Tb 0.7500 0.9510 0.1005
Tm1 Tm 0.2500 0.5504 0.4000
Tm2 Tm 0.7500 0.4496 0.6000
Tm3 Tm 0.2500 0.3494 0.7971
Tm4 Tm 0.7500 0.6506 0.2029
Tm5 Tm 0.2500 0.7510 0.0027
Tm6 Tm 0.7500 0.2490 0.9973
Mg1 Mg 0.2500 0.9528 0.5960
Mg2 Mg 0.7500 0.0472 0.4040


No. 4
# Tb3TmMg4 (GGA-PBE, relaxed)
# Crystal system = tetragonal
# SG = No. 123
# Total moment = 0.00 μB per atom
# Energy of formation = -0.08 eV per atom
data_Tb3TmMg4
_chemical_formula_sum 'Tb3 Tm1 Mg4'
_space_group_name_H-M_alt 'P 1'
_space_group_IT_number 1
_cell_length_a 3.7834
_cell_length_b 3.7834
_cell_length_c 15.1992
_cell_angle_alpha 90.00
_cell_angle_beta 90.00
_cell_angle_gamma 90.00
loop_
_space_group_symop_operation_xyz
'x,y,z'
loop_
_atom_site_label
_atom_site_type_symbol
_atom_site_fract_x
_atom_site_fract_y
_atom_site_fract_z
Mg1 Mg 0.0000 0.0000 0.8779
Mg2 Mg 0.0000 0.0000 0.1221
Mg3 Mg 0.0000 0.0000 0.3741
Mg4 Mg 0.0000 0.0000 0.6259
Tm1 Tm 0.5000 0.5000 0.0000
Tb1 Tb 0.5000 0.5000 0.2483
Tb2 Tb 0.5000 0.5000 0.5000
Tb3 Tb 0.5000 0.5000 0.7517


No. 5
# Tb2Tm7Mg2 (GGA-PBE, relaxed)
# Crystal system = monoclinic
# SG = No. 12
# Energy above the most stable polymorph in this dataset = 0.0368 eV/atom
# Total moment = 0.00 μB per atom
# Energy of formation = 0.18 eV per atom
data_Tb2Tm7Mg2
_chemical_formula_sum 'Tb2 Tm7 Mg2'
_space_group_name_H-M_alt 'P 1'
_space_group_IT_number 1
_cell_length_a 9.0685
_cell_length_b 9.3506
_cell_length_c 9.3506
_cell_angle_alpha 42.88
_cell_angle_beta 43.17
_cell_angle_gamma 43.17
loop_
_space_group_symop_operation_xyz
'x,y,z'
loop_
_atom_site_label
_atom_site_type_symbol
_atom_site_fract_x
_atom_site_fract_y
_atom_site_fract_z
Tb1 Tb 0.0037 0.2280 0.2280
Tb2 Tb 0.9963 0.7720 0.7720
Tm1 Tm 0.3356 0.0111 0.4755
Tm2 Tm 0.6644 0.5245 0.9889
Tm3 Tm 0.6644 0.9889 0.5245
Tm4 Tm 0.3356 0.4755 0.0111
Tm5 Tm 0.0000 0.0000 0.0000
Tm6 Tm 0.8144 0.5061 0.5061
Tm7 Tm 0.1856 0.4939 0.4939
Mg1 Mg 0.5000 0.2522 0.7478
Mg2 Mg 0.5000 0.7478 0.2522


No. 6
# Tb6Tm12Mg (GGA-PBE, relaxed)
# Crystal system = trigonal
# SG = No. 148
# Total moment = 0.00 μB per atom
# Energy of formation = 0.14 eV per atom
data_Tb6Tm12Mg
_chemical_formula_sum 'Tb6 Tm12 Mg1'
_space_group_name_H-M_alt 'P 1'
_space_group_IT_number 1
_cell_length_a 8.3853
_cell_length_b 8.3853
_cell_length_c 8.3853
_cell_angle_alpha 88.66
_cell_angle_beta 88.66
_cell_angle_gamma 88.66
loop_
_space_group_symop_operation_xyz
'x,y,z'
loop_
_atom_site_label
_atom_site_type_symbol
_atom_site_fract_x
_atom_site_fract_y
_atom_site_fract_z
Tb1 Tb 0.7387 0.9054 0.2994
Tb2 Tb 0.7006 0.2613 0.0946
Tb3 Tb 0.0946 0.7006 0.2613
Tb4 Tb 0.2613 0.0946 0.7006
Tb5 Tb 0.2994 0.7387 0.9054
Tb6 Tb 0.9054 0.2994 0.7387
Tm1 Tm 0.7780 0.5390 0.4364
Tm2 Tm 0.4364 0.7780 0.5390
Tm3 Tm 0.5390 0.4364 0.7780
Tm4 Tm 0.2220 0.4610 0.5636
Tm5 Tm 0.5636 0.2220 0.4610
Tm6 Tm 0.4610 0.5636 0.2220
Tm7 Tm 0.0132 0.1883 0.3624
Tm8 Tm 0.8117 0.6376 0.9868
Tm9 Tm 0.6376 0.9868 0.8117
Tm10 Tm 0.9868 0.8117 0.6376
Tm11 Tm 0.1883 0.3624 0.0132
Tm12 Tm 0.3624 0.0132 0.1883
Mg1 Mg 0.0000 0.0000 0.0000


No. 7
# Tb2Tm6Mg (GGA-PBE, relaxed)
# Crystal system = hexagonal
# SG = No. 187
# Energy above the most stable polymorph in this dataset = 0.0419 eV/atom
# Total moment = 0.18 μB per atom
# Energy of formation = 0.07 eV per atom
data_Tb2Tm6Mg
_chemical_formula_sum 'Tb2 Tm6 Mg1'
_space_group_name_H-M_alt 'P 1'
_space_group_IT_number 1
_cell_length_a 3.5068
_cell_length_b 3.5068
_cell_length_c 25.7244
_cell_angle_alpha 90.00
_cell_angle_beta 90.00
_cell_angle_gamma 120.00
loop_
_space_group_symop_operation_xyz
'x,y,z'
loop_
_atom_site_label
_atom_site_type_symbol
_atom_site_fract_x
_atom_site_fract_y
_atom_site_fract_z
Tb1 Tb 0.6667 0.3333 0.3267
Tb2 Tb 0.6667 0.3333 0.6733
Tm1 Tm 0.6667 0.3333 0.8930
Tm2 Tm 0.3333 0.6667 0.4354
Tm3 Tm 0.3333 0.6667 0.7849
Tm4 Tm 0.3333 0.6667 0.2151
Tm5 Tm 0.3333 0.6667 0.5646
Tm6 Tm 0.6667 0.3333 0.1070
Mg1 Mg 0.3333 0.6667 0.0000


No. 8
# Tb2Tm2Mg7 (GGA-PBE, relaxed)
# Crystal system = orthorhombic
# SG = No. 44
# Total moment = 0.00 μB per atom
# Energy of formation = 0.06 eV per atom
data_Tb2Tm2Mg7
_chemical_formula_sum 'Tb2 Tm2 Mg7'
_space_group_name_H-M_alt 'P 1'
_space_group_IT_number 1
_cell_length_a 5.2517
_cell_length_b 7.7503
_cell_length_c 8.6492
_cell_angle_alpha 116.62
_cell_angle_beta 107.67
_cell_angle_gamma 90.00
loop_
_space_group_symop_operation_xyz
'x,y,z'
loop_
_atom_site_label
_atom_site_type_symbol
_atom_site_fract_x
_atom_site_fract_y
_atom_site_fract_z
Tb1 Tb 0.2825 0.9193 0.5650
Tb2 Tb 0.7175 0.3543 0.4350
Tm1 Tm 0.0000 0.6152 0.0000
Tm2 Tm 0.5000 0.3004 0.0000
Mg1 Mg 0.1173 0.0727 0.2346
Mg2 Mg 0.1433 0.4702 0.2867
Mg3 Mg 0.5000 0.8863 0.0000
Mg4 Mg 0.3464 0.4534 0.6928
Mg5 Mg 0.6536 0.7605 0.3072
Mg6 Mg 0.8827 0.8381 0.7654
Mg7 Mg 0.8567 0.1835 0.7133


No. 9
# Tb2Tm3Mg3 (GGA-PBE, relaxed)
# Crystal system = orthorhombic
# SG = No. 71
# Energy above the most stable polymorph in this dataset = 0.0000 eV/atom
# Total moment = 0.00 μB per atom
# Energy of formation = -0.04 eV per atom
data_Tb2Tm3Mg3
_chemical_formula_sum 'Tb2 Tm3 Mg3'
_space_group_name_H-M_alt 'P 1'
_space_group_IT_number 1
_cell_length_a 3.7375
_cell_length_b 5.3702
_cell_length_c 11.5910
_cell_angle_alpha 103.39
_cell_angle_beta 99.28
_cell_angle_gamma 90.00
loop_
_space_group_symop_operation_xyz
'x,y,z'
loop_
_atom_site_label
_atom_site_type_symbol
_atom_site_fract_x
_atom_site_fract_y
_atom_site_fract_z
Tb1 Tb 0.2656 0.7656 0.5312
Tb2 Tb 0.7344 0.2344 0.4688
Tm1 Tm 0.3750 0.3750 0.7501
Tm2 Tm 0.6250 0.6250 0.2499
Tm3 Tm 0.5000 0.0000 0.0000
Mg1 Mg 0.8847 0.8847 0.7694
Mg2 Mg 0.0000 0.5000 0.0000
Mg3 Mg 0.1153 0.1153 0.2306


No. 10
# Tb9Tm2Mg (GGA-PBE, relaxed)
# Crystal system = tetragonal
# SG = No. 123
# Total moment = 0.00 μB per atom
# Energy of formation = 0.02 eV per atom
data_Tb9Tm2Mg
_chemical_formula_sum 'Tb9 Tm2 Mg1'
_space_group_name_H-M_alt 'P 1'
_space_group_IT_number 1
_cell_length_a 4.9727
_cell_length_b 4.9727
_cell_length_c 15.0176
_cell_angle_alpha 90.00
_cell_angle_beta 90.00
_cell_angle_gamma 90.00
loop_
_space_group_symop_operation_xyz
'x,y,z'
loop_
_atom_site_label
_atom_site_type_symbol
_atom_site_fract_x
_atom_site_fract_y
_atom_site_fract_z
Tb1 Tb 0.5000 0.5000 0.0000
Tb2 Tb 0.5000 0.5000 0.3300
Tb3 Tb 0.5000 0.5000 0.6700
Tb4 Tb 0.5000 0.0000 0.1651
Tb5 Tb 0.5000 0.0000 0.5000
Tb6 Tb 0.5000 0.0000 0.8349
Tb7 Tb 0.0000 0.5000 0.1651
Tb8 Tb 0.0000 0.5000 0.5000
Tb9 Tb 0.0000 0.5000 0.8349
Tm1 Tm 0.0000 0.0000 0.3319
Tm2 Tm 0.0000 0.0000 0.6681
Mg1 Mg 0.0000 0.0000 0.0000


No. 11
# Tb6Tm4Mg (GGA-PBE, relaxed)
# Crystal system = tetragonal
# SG = No. 121
# Energy above the most stable polymorph in this dataset = 0.0000 eV/atom
# Total moment = 0.00 μB per atom
# Energy of formation = 0.28 eV per atom
data_Tb6Tm4Mg
_chemical_formula_sum 'Tb6 Tm4 Mg1'
_space_group_name_H-M_alt 'P 1'
_space_group_IT_number 1
_cell_length_a 6.4489
_cell_length_b 6.4489
_cell_length_c 9.6424
_cell_angle_alpha 109.54
_cell_angle_beta 109.54
_cell_angle_gamma 90.00
loop_
_space_group_symop_operation_xyz
'x,y,z'
loop_
_atom_site_label
_atom_site_type_symbol
_atom_site_fract_x
_atom_site_fract_y
_atom_site_fract_z
Tb1 Tb 0.8557 0.4889 0.3446
Tb2 Tb 0.4889 0.8557 0.3446
Tb3 Tb 0.5111 0.5111 0.6554
Tb4 Tb 0.0000 0.5000 0.0000
Tb5 Tb 0.1443 0.1443 0.6554
Tb6 Tb 0.5000 0.0000 0.0000
Tm1 Tm 0.0428 0.6915 0.7343
Tm2 Tm 0.9572 0.9572 0.2657
Tm3 Tm 0.6915 0.0428 0.7343
Tm4 Tm 0.3085 0.3085 0.2657
Mg1 Mg 0.5000 0.5000 0.0000


No. 12
# TbTm3Mg6 (GGA-PBE, relaxed)
# Crystal system = monoclinic
# SG = No. 11
# Total moment = 0.00 μB per atom
# Energy of formation = -0.05 eV per atom
data_TbTm3Mg6
_chemical_formula_sum 'Tb2 Tm6 Mg12'
_space_group_name_H-M_alt 'P 1'
_space_group_IT_number 1
_cell_length_a 5.2437
_cell_length_b 9.1995
_cell_length_c 11.1731
_cell_angle_alpha 105.66
_cell_angle_beta 90.00
_cell_angle_gamma 90.00
loop_
_space_group_symop_operation_xyz
'x,y,z'
loop_
_atom_site_label
_atom_site_type_symbol
_atom_site_fract_x
_atom_site_fract_y
_atom_site_fract_z
Tb1 Tb 0.2500 0.9488 0.6015
Tb2 Tb 0.7500 0.0512 0.3985
Tm1 Tm 0.2500 0.5464 0.3977
Tm2 Tm 0.7500 0.4536 0.6023
Tm3 Tm 0.2500 0.3515 0.7977
Tm4 Tm 0.7500 0.6485 0.2023
Tm5 Tm 0.2500 0.7474 0.0034
Tm6 Tm 0.7500 0.2526 0.9966
Mg1 Mg 0.2500 0.4436 0.1012
Mg2 Mg 0.7500 0.5564 0.8988
Mg3 Mg 0.2500 0.1463 0.1953
Mg4 Mg 0.7500 0.8537 0.8047
Mg5 Mg 0.2500 0.6566 0.7055
Mg6 Mg 0.7500 0.3434 0.2945
Mg7 Mg 0.2500 0.2466 0.4924
Mg8 Mg 0.7500 0.7534 0.5076
Mg9 Mg 0.2500 0.8542 0.2986
Mg10 Mg 0.7500 0.1458 0.7014
Mg11 Mg 0.2500 0.0481 0.9022
Mg12 Mg 0.7500 0.9519 0.0978